# 1
PBE-GGA Mg3ZrI, optimized geometry; energy relative to the lowest polymorph listed for this composition = 0.000 eV per formula unit; formation energy (no corrections) = 0.900 eV per atom; crystal system = cubic; symmetry = Pm-3m
1.0
5.900 0.000 0.000
0.000 5.900 0.000
0.000 0.000 5.900
Mg Zr I
3 1 1
Cartesian
0.000 0.000 2.950 Mg
0.000 2.950 0.000 Mg
2.950 0.000 0.000 Mg
0.000 0.000 0.000 Zr
2.950 2.950 2.950 I



# 2
PBE-GGA Mg2ZrI8, optimized geometry; formation energy (no corrections) = -0.888 eV per atom; crystal system = monoclinic; symmetry = C2/m
1.0
8.521 -4.302 0.000
8.521 4.302 0.000
-0.240 0.000 7.135
Mg Zr I
2 1 8
Cartesian
2.594 0.000 2.952 Mg
14.208 0.000 4.183 Mg
0.000 0.000 0.000 Zr
2.313 0.000 5.747 I
7.238 2.256 5.382 I
9.564 2.256 1.754 I
5.155 0.000 2.380 I
11.647 0.000 4.756 I
7.238 -2.256 5.382 I
9.564 -2.256 1.754 I
14.490 0.000 1.388 I



# 3
PBE-GGA MgZr2I, optimized geometry; energy relative to the lowest polymorph listed for this composition = 0.021 eV per formula unit; formation energy (no corrections) = 0.303 eV per atom; crystal system = cubic; symmetry = Fm-3m
1.0
0.000 3.586 3.586
3.586 0.000 3.586
3.586 3.586 0.000
Mg Zr I
1 2 1
Cartesian
0.000 0.000 0.000 Mg
1.793 1.793 1.793 Zr
5.379 5.379 5.379 Zr
3.586 3.586 3.586 I



# 4
PBE-GGA Mg3ZrI, optimized geometry; energy relative to the lowest polymorph listed for this composition = 0.219 eV per formula unit; formation energy (no corrections) = 0.944 eV per atom; crystal system = cubic; symmetry = Pm-3m
1.0
5.434 0.000 0.000
0.000 5.434 0.000
0.000 0.000 5.434
Mg Zr I
3 1 1
Cartesian
0.000 0.000 2.717 Mg
0.000 2.717 0.000 Mg
2.717 0.000 0.000 Mg
2.717 2.717 2.717 Zr
0.000 0.000 0.000 I



# 5
PBE-GGA MgZr2I, optimized geometry; energy relative to the lowest polymorph listed for this composition = 0.000 eV per formula unit; formation energy (no corrections) = 0.298 eV per atom; crystal system = tetragonal; symmetry = I-42d
1.0
-2.142 2.142 10.954
2.142 -2.142 10.954
2.142 2.142 -10.954
Mg Zr I
2 4 2
Cartesian
0.000 0.000 0.000 Mg
0.000 2.142 5.477 Mg
3.214 1.062 -2.738 Zr
1.062 1.071 2.738 Zr
-1.071 1.080 8.215 Zr
1.080 1.071 13.692 Zr
2.142 0.000 5.477 I
0.000 0.000 10.954 I



# 6
PBE-GGA MnI3, optimized geometry; formation energy (no corrections) = 0.375 eV per atom; crystal system = tetragonal; symmetry = I-42d
1.0
-3.753 3.753 5.165
3.753 -3.753 5.165
3.753 3.753 -5.165
Mn I
2 6
Cartesian
0.000 0.000 0.000 Mn
0.000 3.753 2.583 Mn
5.630 0.961 -1.291 I
3.753 0.000 2.583 I
0.961 1.877 1.291 I
0.000 0.000 5.165 I
-1.877 2.793 3.874 I
2.793 1.877 6.457 I



# 7
PBE-GGA MnI, optimized geometry; energy relative to the lowest polymorph listed for this composition = 0.845 eV per formula unit; formation energy (no corrections) = 0.503 eV per atom; crystal system = hexagonal; symmetry = P6_3/m
1.0
10.022 0.000 0.000
-5.011 8.679 0.000
0.000 0.000 3.687
Mn I
6 6
Cartesian
-2.204 3.875 0.922 Mn
-0.553 8.650 0.922 Mn
2.254 3.846 2.765 Mn
2.757 4.833 0.922 Mn
5.564 0.029 2.765 Mn
7.215 4.804 2.765 Mn
-2.306 6.659 0.922 I
0.396 3.353 0.922 I
3.102 1.333 2.765 I
1.909 7.346 0.922 I
4.614 5.326 2.765 I
7.317 2.020 2.765 I



# 8
PBE-GGA MnI3, optimized geometry; formation energy (no corrections) = -0.230 eV per atom; crystal system = orthorhombic; symmetry = Imm2
1.0
-1.801 6.431 3.877
1.801 -6.431 3.877
1.801 6.431 -3.877
Mn I
1 3
Cartesian
0.000 0.000 0.000 Mn
1.801 1.873 -1.079 I
1.801 0.000 2.163 I
0.000 4.558 2.798 I



# 9
PBE-GGA MnI4, optimized geometry; formation energy (no corrections) = 0.040 eV per atom; crystal system = cubic; symmetry = Pm-3m
1.0
5.588 0.000 0.000
0.000 5.588 0.000
0.000 0.000 5.588
Mn I
1 4
Cartesian
0.000 0.000 0.000 Mn
0.000 0.000 2.794 I
0.000 2.794 0.000 I
2.794 0.000 0.000 I
2.794 2.794 2.794 I



# 10
PBE-GGA MnI4, optimized geometry; formation energy (no corrections) = -0.145 eV per atom; crystal system = orthorhombic; symmetry = Ccce
1.0
3.353 -6.739 0.000
3.353 6.739 0.000
0.000 0.000 11.678
Mn I
2 8
Cartesian
3.353 3.369 8.758 Mn
3.353 -3.369 2.919 Mn
1.571 1.908 1.640 I
1.782 1.908 7.479 I
1.571 -1.908 7.479 I
1.782 -1.908 1.640 I
4.924 1.908 10.038 I
5.136 1.908 4.199 I
4.924 -1.908 4.199 I
5.136 -1.908 10.038 I



# 11
PBE-GGA MnI, optimized geometry; energy relative to the lowest polymorph listed for this composition = 0.631 eV per formula unit; formation energy (no corrections) = 0.396 eV per atom; crystal system = hexagonal; symmetry = P6_3mc
1.0
4.195 0.000 0.000
-2.098 3.633 0.000
0.000 0.000 7.822
Mn I
2 2
Cartesian
0.000 2.422 0.000 Mn
2.098 1.211 3.911 Mn
0.000 2.422 2.654 I
2.098 1.211 6.564 I



# 12
PBE-GGA MnI2, optimized geometry; formation energy (no corrections) = -0.002 eV per atom; crystal system = trigonal; symmetry = P-3m1
1.0
3.974 0.000 0.000
-1.987 3.441 0.000
0.000 0.000 21.786
Mn I
3 6
Cartesian
0.000 0.000 0.000 Mn
0.000 2.294 14.413 Mn
1.987 1.147 7.372 Mn
0.000 0.000 5.974 I
0.000 0.000 15.812 I
0.000 2.294 1.725 I
0.000 2.294 8.776 I
1.987 1.147 13.010 I
1.987 1.147 20.061 I